Entry 1:
VASP calculation (PBE) on crystalline Cs3OsSe at its relaxed geometry.

## Properties
total energy	-13.9	eV for the cell shown
energy relative to the lowest polymorph listed for this composition	0	meV/atom
formation energy from raw total energies	0.68	eV/atom
SG	Pm-3m
crystal system	cubic
N(E_F)	6.08	states/eV per atom

a = 6.907 Å, b = 6.907 Å, c = 6.907 Å
α = 90.00°, β = 90.00°, γ = 90.00°
Site moments in Bohr magnetons follow the coordinates.
Fractional positions:
Cs 0.000 0.500 0.000  0.00
Cs 0.000 0.000 0.500  0.00
Cs 0.500 0.000 0.000  0.00
Os 0.500 0.500 0.500  2.59
Se 0.000 0.000 0.000  0.01

---

Entry 2:
VASP calculation (PBE) on crystalline CsSiOs at its relaxed geometry.

## Properties
total energy	-68.9	eV for the cell shown
energy relative to the lowest polymorph listed for this composition	101	meV/atom
formation energy from raw total energies	0.09	eV/atom
SG	C2/m
crystal system	monoclinic
N(E_F)	0.55	states/eV per atom

a = 11.472 Å, b = 5.566 Å, c = 7.654 Å
α = 90.00°, β = 97.20°, γ = 90.00°
Fractional positions:
Cs 0.224 0.000 0.256
Cs 0.776 0.000 0.744
Cs 0.224 0.500 0.756
Cs 0.776 0.500 0.244
Si 0.500 0.710 0.500
Si 0.500 0.290 0.500
Si 0.500 0.210 0.000
Si 0.500 0.790 0.000
Os 0.486 0.000 0.726
Os 0.514 0.000 0.274
Os 0.486 0.500 0.226
Os 0.514 0.500 0.774

---

Entry 3:
VASP calculation (PBE) on crystalline CsSi2Os at its relaxed geometry.

## Properties
total energy	-46.1	eV for the cell shown
formation energy from raw total energies	-0.03	eV/atom
SG	I4_1/amd
crystal system	tetragonal
N(E_F)	0.32	states/eV per atom

a = 6.895 Å, b = 6.895 Å, c = 7.515 Å
α = 62.70°, β = 62.70°, γ = 90.00°
Fractional positions:
Cs 0.500 0.500 0.000
Cs 0.250 0.750 0.500
Si 0.875 0.125 0.250
Si 0.875 0.625 0.250
Si 0.375 0.125 0.750
Si 0.875 0.125 0.750
Os 0.000 0.000 0.000
Os 0.750 0.250 0.500

---

Entry 4:
VASP calculation (PBE) on crystalline CsSiOs at its relaxed geometry.

## Properties
total energy	-32.3	eV for the cell shown
energy relative to the lowest polymorph listed for this composition	463	meV/atom
formation energy from raw total energies	0.46	eV/atom
SG	P2_1
crystal system	monoclinic
N(E_F)	0.44	states/eV per atom

a = 3.118 Å, b = 7.543 Å, c = 6.605 Å
α = 90.00°, β = 90.54°, γ = 90.00°
Fractional positions:
Cs 0.286 0.687 0.016
Cs 0.714 0.187 0.984
Si 0.511 0.805 0.510
Si 0.489 0.305 0.490
Os 0.939 0.552 0.510
Os 0.061 0.052 0.490

---

For each record above, in turn, the calculated total moment values are 3.00; 0.00; 0.00; 0.00 μB per formula unit.